Version 1
First-principles (PBE-GGA) data for a relaxed structure of SiS3F, as listed in the Alexandria database.

```
data_SiS3F
_chemical_formula_sum 'Si1 S3 F1'
_symmetry_space_group_name_H-M 'P 1'
_symmetry_Int_Tables_number 1
_cell_length_a 4.408
_cell_length_b 4.408
_cell_length_c 4.408
_cell_angle_alpha 90.00
_cell_angle_beta 90.00
_cell_angle_gamma 90.00
loop_
_symmetry_equiv_pos_as_xyz
'x,y,z'
loop_
_atom_site_label
_atom_site_fract_x
_atom_site_fract_y
_atom_site_fract_z
Si1 0.000 0.000 0.000
S1 0.000 0.000 0.500
S2 0.000 0.500 0.000
S3 0.500 0.000 0.000
F1 0.500 0.500 0.500
```

Summary:
- symmetry = Pm-3m


Version 2
First-principles (PBE-GGA) data for a relaxed structure of SiS3F, as listed in the Alexandria database.

```
data_SiS3F
_chemical_formula_sum 'Si1 S3 F1'
_symmetry_space_group_name_H-M 'P 1'
_symmetry_Int_Tables_number 1
_cell_length_a 4.395
_cell_length_b 4.395
_cell_length_c 4.395
_cell_angle_alpha 90.00
_cell_angle_beta 90.00
_cell_angle_gamma 90.00
loop_
_symmetry_equiv_pos_as_xyz
'x,y,z'
loop_
_atom_site_label
_atom_site_fract_x
_atom_site_fract_y
_atom_site_fract_z
Si1 0.000 0.000 0.000
S1 0.000 0.500 0.500
S2 0.500 0.000 0.500
S3 0.500 0.500 0.000
F1 0.500 0.500 0.500
```

Summary:
- symmetry = Pm-3m


Winner for stability: version 1


Version 1
First-principles (PBE-GGA) data for a relaxed structure of SiSF3, as listed in the Alexandria database.

```
data_SiSF3
_chemical_formula_sum 'Si1 S1 F3'
_symmetry_space_group_name_H-M 'P 1'
_symmetry_Int_Tables_number 1
_cell_length_a 4.289
_cell_length_b 4.289
_cell_length_c 4.289
_cell_angle_alpha 90.00
_cell_angle_beta 90.00
_cell_angle_gamma 90.00
loop_
_symmetry_equiv_pos_as_xyz
'x,y,z'
loop_
_atom_site_label
_atom_site_fract_x
_atom_site_fract_y
_atom_site_fract_z
Si1 0.000 0.000 0.000
S1 0.500 0.500 0.500
F1 0.000 0.500 0.500
F2 0.500 0.000 0.500
F3 0.500 0.500 0.000
```

Summary:
- symmetry = Pm-3m


Version 2
First-principles (PBE-GGA) data for a relaxed structure of SiSF3, as listed in the Alexandria database.

```
data_SiSF3
_chemical_formula_sum 'Si1 S1 F3'
_symmetry_space_group_name_H-M 'P 1'
_symmetry_Int_Tables_number 1
_cell_length_a 4.061
_cell_length_b 4.061
_cell_length_c 4.061
_cell_angle_alpha 90.00
_cell_angle_beta 90.00
_cell_angle_gamma 90.00
loop_
_symmetry_equiv_pos_as_xyz
'x,y,z'
loop_
_atom_site_label
_atom_site_fract_x
_atom_site_fract_y
_atom_site_fract_z
Si1 0.000 0.000 0.000
S1 0.500 0.500 0.500
F1 0.000 0.000 0.500
F2 0.000 0.500 0.000
F3 0.500 0.000 0.000
```

Summary:
- symmetry = Pm-3m


Winner for stability: version 2


Version 1
First-principles (PBE-GGA) data for a relaxed structure of SnSF, as listed in the Alexandria database.

```
data_SnSF
_chemical_formula_sum 'Sn1 S1 F1'
_symmetry_space_group_name_H-M 'P 1'
_symmetry_Int_Tables_number 1
_cell_length_a 6.368
_cell_length_b 6.368
_cell_length_c 6.368
_cell_angle_alpha 145.97
_cell_angle_beta 145.97
_cell_angle_gamma 48.90
loop_
_symmetry_equiv_pos_as_xyz
'x,y,z'
loop_
_atom_site_label
_atom_site_fract_x
_atom_site_fract_y
_atom_site_fract_z
Sn1 0.000 0.000 0.000
S1 0.545 0.545 0.000
F1 0.830 0.830 0.000
```

Summary:
- symmetry = I4mm


Version 2
First-principles (PBE-GGA) data for a relaxed structure of SnSF, as listed in the Alexandria database.

```
data_SnSF
_chemical_formula_sum 'Sn4 S4 F4'
_symmetry_space_group_name_H-M 'P 1'
_symmetry_Int_Tables_number 1
_cell_length_a 6.159
_cell_length_b 7.479
_cell_length_c 5.617
_cell_angle_alpha 90.00
_cell_angle_beta 90.00
_cell_angle_gamma 90.00
loop_
_symmetry_equiv_pos_as_xyz
'x,y,z'
loop_
_atom_site_label
_atom_site_fract_x
_atom_site_fract_y
_atom_site_fract_z
Sn1 0.048 0.238 0.000
Sn2 0.452 0.738 0.500
Sn3 0.548 0.262 0.500
Sn4 0.952 0.762 0.000
S1 0.031 0.137 0.500
S2 0.469 0.637 0.000
S3 0.531 0.363 0.000
S4 0.969 0.863 0.500
F1 0.212 0.979 0.000
F2 0.288 0.479 0.500
F3 0.712 0.521 0.500
F4 0.788 0.021 0.000
```

Summary:
- symmetry = Pnnm


Winner for stability: version 2


Version 1
First-principles (PBE-GGA) data for a relaxed structure of Sr2S2F, as listed in the Alexandria database.

```
data_Sr2S2F
_chemical_formula_sum 'Sr2 S2 F1'
_symmetry_space_group_name_H-M 'P 1'
_symmetry_Int_Tables_number 1
_cell_length_a 6.031
_cell_length_b 6.031
_cell_length_c 6.031
_cell_angle_alpha 125.75
_cell_angle_beta 125.75
_cell_angle_gamma 80.29
loop_
_symmetry_equiv_pos_as_xyz
'x,y,z'
loop_
_atom_site_label
_atom_site_fract_x
_atom_site_fract_y
_atom_site_fract_z
Sr1 0.250 0.750 0.500
Sr2 0.750 0.250 0.500
S1 0.146 0.146 0.000
S2 0.854 0.854 0.000
F1 0.500 0.500 0.000
```

Summary:
- symmetry = I4/mmm


Version 2
First-principles (PBE-GGA) data for a relaxed structure of Sr2S2F, as listed in the Alexandria database.

```
data_Sr2S2F
_chemical_formula_sum 'Sr4 S4 F2'
_symmetry_space_group_name_H-M 'P 1'
_symmetry_Int_Tables_number 1
_cell_length_a 7.969
_cell_length_b 7.969
_cell_length_c 3.793
_cell_angle_alpha 90.00
_cell_angle_beta 90.00
_cell_angle_gamma 90.00
loop_
_symmetry_equiv_pos_as_xyz
'x,y,z'
loop_
_atom_site_label
_atom_site_fract_x
_atom_site_fract_y
_atom_site_fract_z
Sr1 0.180 0.320 0.000
Sr2 0.320 0.820 0.000
Sr3 0.680 0.180 0.000
Sr4 0.820 0.680 0.000
S1 0.117 0.617 0.500
S2 0.383 0.117 0.500
S3 0.617 0.883 0.500
S4 0.883 0.383 0.500
F1 0.000 0.000 0.500
F2 0.500 0.500 0.500
```

Summary:
- symmetry = P4/mbm


Winner for stability: version 2


Version 1
First-principles (PBE-GGA) data for a relaxed structure of TaS2F, as listed in the Alexandria database.

```
data_TaS2F
_chemical_formula_sum 'Ta1 S2 F1'
_symmetry_space_group_name_H-M 'P 1'
_symmetry_Int_Tables_number 1
_cell_length_a 4.311
_cell_length_b 4.311
_cell_length_c 4.311
_cell_angle_alpha 60.00
_cell_angle_beta 60.00
_cell_angle_gamma 60.00
loop_
_symmetry_equiv_pos_as_xyz
'x,y,z'
loop_
_atom_site_label
_atom_site_fract_x
_atom_site_fract_y
_atom_site_fract_z
Ta1 0.000 0.000 0.000
S1 0.250 0.250 0.250
S2 0.750 0.750 0.750
F1 0.500 0.500 0.500
```

Summary:
- symmetry = Fm-3m


Version 2
First-principles (PBE-GGA) data for a relaxed structure of TaS2F, as listed in the Alexandria database.

```
data_TaS2F
_chemical_formula_sum 'Ta1 S2 F1'
_symmetry_space_group_name_H-M 'P 1'
_symmetry_Int_Tables_number 1
_cell_length_a 7.486
_cell_length_b 7.486
_cell_length_c 7.486
_cell_angle_alpha 25.87
_cell_angle_beta 25.87
_cell_angle_gamma 25.87
loop_
_symmetry_equiv_pos_as_xyz
'x,y,z'
loop_
_atom_site_label
_atom_site_fract_x
_atom_site_fract_y
_atom_site_fract_z
Ta1 0.000 0.000 0.000
S1 0.403 0.403 0.403
S2 0.597 0.597 0.597
F1 0.500 0.500 0.500
```

Summary:
- symmetry = R-3m


Version 3
First-principles (PBE-GGA) data for a relaxed structure of TaS2F, as listed in the Alexandria database.

```
data_TaS2F
_chemical_formula_sum 'Ta2 S4 F2'
_symmetry_space_group_name_H-M 'P 1'
_symmetry_Int_Tables_number 1
_cell_length_a 6.417
_cell_length_b 6.417
_cell_length_c 6.417
_cell_angle_alpha 124.10
_cell_angle_beta 124.10
_cell_angle_gamma 83.04
loop_
_symmetry_equiv_pos_as_xyz
'x,y,z'
loop_
_atom_site_label
_atom_site_fract_x
_atom_site_fract_y
_atom_site_fract_z
Ta1 0.000 0.000 0.000
Ta2 0.750 0.250 0.500
S1 0.086 0.625 0.961
S2 0.375 0.336 0.461
S3 0.664 0.125 0.039
S4 0.875 0.914 0.539
F1 0.250 0.750 0.500
F2 0.500 0.500 0.000
```

Summary:
- symmetry = I-42d


Winner for stability: version 2


Version 1
First-principles (PBE-GGA) data for a relaxed structure of TaSF2, as listed in the Alexandria database.

```
data_TaSF2
_chemical_formula_sum 'Ta1 S1 F2'
_symmetry_space_group_name_H-M 'P 1'
_symmetry_Int_Tables_number 1
_cell_length_a 4.080
_cell_length_b 4.080
_cell_length_c 4.080
_cell_angle_alpha 60.00
_cell_angle_beta 60.00
_cell_angle_gamma 60.00
loop_
_symmetry_equiv_pos_as_xyz
'x,y,z'
loop_
_atom_site_label
_atom_site_fract_x
_atom_site_fract_y
_atom_site_fract_z
Ta1 0.000 0.000 0.000
S1 0.500 0.500 0.500
F1 0.250 0.250 0.250
F2 0.750 0.750 0.750
```

Summary:
- symmetry = Fm-3m


Version 2
First-principles (PBE-GGA) data for a relaxed structure of TaSF2, as listed in the Alexandria database.

```
data_TaSF2
_chemical_formula_sum 'Ta2 S2 F4'
_symmetry_space_group_name_H-M 'P 1'
_symmetry_Int_Tables_number 1
_cell_length_a 8.032
_cell_length_b 8.032
_cell_length_c 8.032
_cell_angle_alpha 153.19
_cell_angle_beta 153.19
_cell_angle_gamma 38.27
loop_
_symmetry_equiv_pos_as_xyz
'x,y,z'
loop_
_atom_site_label
_atom_site_fract_x
_atom_site_fract_y
_atom_site_fract_z
Ta1 0.000 0.000 0.000
Ta2 0.750 0.250 0.500
S1 0.250 0.750 0.500
S2 0.500 0.500 0.000
F1 0.021 0.625 0.896
F2 0.375 0.271 0.396
F3 0.729 0.125 0.104
F4 0.875 0.979 0.604
```

Summary:
- symmetry = I-42d


Version 3
First-principles (PBE-GGA) data for a relaxed structure of TaSF2, as listed in the Alexandria database.

```
data_TaSF2
_chemical_formula_sum 'Ta1 S1 F2'
_symmetry_space_group_name_H-M 'P 1'
_symmetry_Int_Tables_number 1
_cell_length_a 10.787
_cell_length_b 10.787
_cell_length_c 10.787
_cell_angle_alpha 15.72
_cell_angle_beta 15.72
_cell_angle_gamma 15.72
loop_
_symmetry_equiv_pos_as_xyz
'x,y,z'
loop_
_atom_site_label
_atom_site_fract_x
_atom_site_fract_y
_atom_site_fract_z
Ta1 0.000 0.000 0.000
S1 0.500 0.500 0.500
F1 0.059 0.059 0.059
F2 0.941 0.941 0.941
```

Summary:
- symmetry = R-3m


Winner for stability: version 2


Version 1
First-principles (PBE-GGA) data for a relaxed structure of Ta2SF, as listed in the Alexandria database.

```
data_Ta2SF
_chemical_formula_sum 'Ta4 S2 F2'
_symmetry_space_group_name_H-M 'P 1'
_symmetry_Int_Tables_number 1
_cell_length_a 5.378
_cell_length_b 5.378
_cell_length_c 5.378
_cell_angle_alpha 106.69
_cell_angle_beta 106.69
_cell_angle_gamma 115.18
loop_
_symmetry_equiv_pos_as_xyz
'x,y,z'
loop_
_atom_site_label
_atom_site_fract_x
_atom_site_fract_y
_atom_site_fract_z
Ta1 0.105 0.125 0.480
Ta2 0.375 0.895 0.020
Ta3 0.645 0.625 0.520
Ta4 0.875 0.355 0.980
S1 0.250 0.750 0.500
S2 0.500 0.500 0.000
F1 0.000 0.000 0.000
F2 0.750 0.250 0.500
```

Summary:
- symmetry = I-42d


Version 2
First-principles (PBE-GGA) data for a relaxed structure of Ta2SF, as listed in the Alexandria database.

```
data_Ta2SF
_chemical_formula_sum 'Ta2 S1 F1'
_symmetry_space_group_name_H-M 'P 1'
_symmetry_Int_Tables_number 1
_cell_length_a 4.284
_cell_length_b 4.284
_cell_length_c 4.284
_cell_angle_alpha 60.00
_cell_angle_beta 60.00
_cell_angle_gamma 60.00
loop_
_symmetry_equiv_pos_as_xyz
'x,y,z'
loop_
_atom_site_label
_atom_site_fract_x
_atom_site_fract_y
_atom_site_fract_z
Ta1 0.250 0.250 0.250
Ta2 0.750 0.750 0.750
S1 0.000 0.000 0.000
F1 0.500 0.500 0.500
```

Summary:
- symmetry = Fm-3m


Winner for stability: version 2


Version 1
First-principles (PBE-GGA) data for a relaxed structure of TcS2F, as listed in the Alexandria database.

```
data_TcS2F
_chemical_formula_sum 'Tc1 S2 F1'
_symmetry_space_group_name_H-M 'P 1'
_symmetry_Int_Tables_number 1
_cell_length_a 7.077
_cell_length_b 7.077
_cell_length_c 7.077
_cell_angle_alpha 28.47
_cell_angle_beta 28.47
_cell_angle_gamma 28.47
loop_
_symmetry_equiv_pos_as_xyz
'x,y,z'
loop_
_atom_site_label
_atom_site_fract_x
_atom_site_fract_y
_atom_site_fract_z
Tc1 0.000 0.000 0.000
S1 0.398 0.398 0.398
S2 0.602 0.602 0.602
F1 0.500 0.500 0.500
```

Summary:
- symmetry = R-3m


Version 2
First-principles (PBE-GGA) data for a relaxed structure of TcS2F, as listed in the Alexandria database.

```
data_TcS2F
_chemical_formula_sum 'Tc1 S2 F1'
_symmetry_space_group_name_H-M 'P 1'
_symmetry_Int_Tables_number 1
_cell_length_a 4.197
_cell_length_b 4.197
_cell_length_c 4.197
_cell_angle_alpha 60.00
_cell_angle_beta 60.00
_cell_angle_gamma 60.00
loop_
_symmetry_equiv_pos_as_xyz
'x,y,z'
loop_
_atom_site_label
_atom_site_fract_x
_atom_site_fract_y
_atom_site_fract_z
Tc1 0.000 0.000 0.000
S1 0.250 0.250 0.250
S2 0.750 0.750 0.750
F1 0.500 0.500 0.500
```

Summary:
- symmetry = Fm-3m


Winner for stability: version 1